# NpNi5As3

A relaxed structure of NpNi5As3 (PBE-GGA, Alexandria).

E_form	-0.3808	eV per atom
crystal system	orthorhombic
ρ	9513	kg/m³

Cell lengths 3.686, 12.204, 11.722 Å; angles 90.00, 90.00, 90.00 degrees
Space group Cmcm (No. 63)
Asymmetric unit:
Np 0.000 0.152 0.250 (multiplicity 4)
Ni 0.000 0.000 0.000 (multiplicity 4)
Ni 0.000 0.195 0.564 (multiplicity 8)
Ni 0.000 0.444 0.144 (multiplicity 8)
As 0.000 0.123 0.750 (multiplicity 4)
As 0.000 0.381 0.551 (multiplicity 8)